[1]
! ReHgN2 (GGA-PBE, relaxed); values from VASP
&SYSTEM
  ibrav = 0, nat = 4, ntyp = 3
/
ATOMIC_SPECIES
Re 186.21 Re.upf
Hg 200.59 Hg.upf
N 14.01 N.upf
CELL_PARAMETERS angstrom
-1.822 -6.058 3.831
0.772 -5.330 5.068
-1.724 -4.008 5.971
ATOMIC_POSITIONS angstrom
Re -1.387 -7.698 7.435
Hg 0.000 0.000 0.000
N -2.460 -13.655 13.188
N -0.314 -1.741 1.681
! space group: R-3m (166)
! ΔE_f (raw): 0.420 eV per atom
! calculated total energy: -6.93 eV per atom

[2]
! ThTcP2Rh2 (GGA-PBE, relaxed); values from VASP
&SYSTEM
  ibrav = 0, nat = 6, ntyp = 4
/
ATOMIC_SPECIES
Th 232.04 Th.upf
Tc 98.00 Tc.upf
P 30.97 P.upf
Rh 102.91 Rh.upf
CELL_PARAMETERS angstrom
-1.809 -0.703 3.679
2.111 -3.042 -1.895
5.520 1.912 3.080
ATOMIC_POSITIONS angstrom
Th 0.000 0.000 0.000
Tc 2.760 0.956 1.540
P 3.227 -0.191 3.902
P 2.595 -1.643 0.962
Rh 1.094 -0.930 2.712
Rh 4.728 -0.904 2.152
! space group: P-3m1 (164)
! calculated total energy: -7.98 eV per atom
! energy of formation: -4.6 eV/f.u.

[3]
! SrNiW2 (GGA-PBE, relaxed); values from VASP
&SYSTEM
  ibrav = 0, nat = 4, ntyp = 3
/
ATOMIC_SPECIES
Ni 58.69 Ni.upf
Sr 87.62 Sr.upf
W 183.84 W.upf
CELL_PARAMETERS angstrom
3.052 0.000 0.000
0.000 4.541 0.000
0.000 0.000 5.354
ATOMIC_POSITIONS angstrom
Ni 1.526 0.000 2.677
Sr 0.000 2.271 2.677
W 0.000 0.000 0.000
W 1.526 2.271 0.000
! space group: Pmmm (47)
! calculated total energy: -7.37 eV per atom
! energy of formation: 3.9 eV/f.u.

> The lowest calculated total energy belongs to which entry?

ThTcP2Rh2